Entry from the Alexandria database: a geometry-optimized CdNiNF2 structure (PBE with a Hubbard U).

a b c (Å): 4.396 4.396 4.334
angles (deg): 90.00 90.00 90.00
Atoms (fractional coordinates):
Cd 0.000 0.000 0.000
Ni 0.500 0.500 0.500
N 0.000 0.000 0.500
F 0.000 0.500 0.000
F 0.500 0.000 0.000

Computed properties:
density of states at the Fermi level = 1.5 states/eV/f.u.
E above lowest polymorph = 65.9 kJ/mol of atoms
magnetic moment = 0.58 μB per atom
energy = -3.0171 eV per atom
SG = No. 123